(1)
DFT (GGA-PBE) results for a relaxed structure of TaCd3Os.

Geometry as POSCAR:
```
TaCd3Os
1.0
5.301 0.000 0.000
0.000 5.301 0.000
0.000 0.000 5.301
Cd Os Ta
3 1 1
direct
0.000 0.000 0.500
0.000 0.500 0.000
0.500 0.000 0.000
0.500 0.500 0.500
0.000 0.000 0.000
```

## Properties
The total energy comes out at -14.48 eV/f.u. The value obtained for the total moment is 2.6 μB/f.u. As for the energy of formation: 1095 kJ/mol of formula units.

---

(2)
DFT (GGA-PBE) results for a relaxed structure of TaCdOs2.

Geometry as POSCAR:
```
TaCdOs2
1.0
4.225 0.000 0.000
0.000 2.842 0.004
0.000 1.571 5.573
Os Cd Ta
2 1 1
direct
0.000 0.416 0.485
0.000 0.084 0.015
0.500 0.750 0.750
0.500 0.250 0.250
```

## Properties
The total energy comes out at -33.93 eV/f.u. The value obtained for the total moment is 0.0 μB/f.u. As for the energy of formation: 125 kJ/mol of formula units.

---

(3)
DFT (GGA-PBE) results for a relaxed structure of TaCdOs2.

Geometry as POSCAR:
```
TaCdOs2
1.0
-2.329 0.623 -1.461
-1.586 -1.037 2.087
-0.228 7.587 3.598
Cd Os Ta
1 2 1
direct
0.500 0.500 0.765
0.500 0.500 0.225
0.000 0.000 0.027
0.000 0.000 0.483
```

## Properties
The total energy comes out at -34.55 eV/f.u. The value obtained for the total moment is 0.0 μB/f.u. As for the energy of formation: 66 kJ/mol of formula units.

---

(4)
DFT (GGA-PBE) results for a relaxed structure of Ta4CdOs2.

Geometry as POSCAR:
```
Ta4CdOs2
1.0
4.854 0.000 0.000
0.000 4.854 0.000
2.427 2.427 6.536
Ta Cd Os
4 1 2
direct
0.000 0.500 0.000
0.790 0.790 0.420
0.500 0.000 0.000
0.210 0.210 0.580
0.000 0.000 0.000
0.606 0.606 0.789
0.394 0.394 0.211
```

## Properties
The total energy comes out at -59.53 eV/f.u. The value obtained for the total moment is 0.0 μB/f.u. As for the energy of formation: 1086 kJ/mol of formula units.

---

(5)
DFT (GGA-PBE) results for a relaxed structure of TaCdOs2.

Geometry as POSCAR:
```
TaCdOs2
1.0
-0.508 -1.684 2.158
-1.242 -0.659 -2.403
7.624 -5.439 -2.450
Cd Os Ta
1 2 1
direct
0.500 0.500 0.757
0.500 0.500 0.246
0.000 0.000 0.016
0.000 0.000 0.481
```

## Properties
The total energy comes out at -33.20 eV/f.u. The value obtained for the total moment is 0.3 μB/f.u. As for the energy of formation: 195 kJ/mol of formula units.

---

(6)
DFT (GGA-PBE) results for a relaxed structure of TaCdOs2.

Geometry as POSCAR:
```
TaCdOs2
1.0
-2.458 -1.591 2.875
-1.478 -1.344 -2.008
1.978 -5.800 -1.519
Os Ta Cd
2 1 1
direct
0.500 0.260 0.246
0.000 0.983 0.019
0.000 0.517 0.476
0.500 0.741 0.759
```

## Properties
The total energy comes out at -34.02 eV/f.u. The value obtained for the total moment is 0.0 μB/f.u. As for the energy of formation: 116 kJ/mol of formula units.

---

(7)
DFT (GGA-PBE) results for a relaxed structure of Ta2CdOs2.

Geometry as POSCAR:
```
Ta2CdOs2
1.0
-7.432 -1.466 -1.883
0.729 -7.259 2.776
-0.862 0.935 2.672
Os Cd Ta
4 2 4
direct
0.646 0.854 0.500
0.854 0.354 0.500
0.146 0.646 0.500
0.354 0.146 0.500
0.000 0.000 0.000
0.500 0.500 0.000
0.855 0.645 0.000
0.355 0.855 0.000
0.645 0.145 0.000
0.145 0.355 0.000
```

## Properties
The total energy comes out at -46.54 eV/f.u. The value obtained for the total moment is 0.0 μB/f.u. As for the energy of formation: 52 kJ/mol of formula units.

---

(8)
DFT (GGA-PBE) results for a relaxed structure of TaCdOs2.

Geometry as POSCAR:
```
TaCdOs2
1.0
-8.603 0.786 4.537
-8.160 -1.971 4.974
-7.053 -0.065 6.743
Os Cd Ta
2 1 1
direct
0.745 0.745 0.745
0.007 0.007 0.007
0.254 0.254 0.254
0.494 0.494 0.494
```

## Properties
The total energy comes out at -34.08 eV/f.u. The value obtained for the total moment is 0.0 μB/f.u. As for the energy of formation: 110 kJ/mol of formula units.

---

Number 1 is which compound?
TaCd3Os